Entry 1:
A geometry-optimized Dy4Ga16Pd3 structure, computed with PBE.

```
23
Lattice="6.226 0.000 0.000 0.000 6.226 0.000 0.000 0.000 11.064" Properties=species:S:1:pos:R:3 pbc="T T T"
Dy 0.000 3.113 2.103
Dy 0.000 3.113 8.960
Dy 3.113 0.000 2.103
Dy 3.113 0.000 8.960
Ga 0.000 0.000 2.218
Ga 0.000 0.000 8.845
Ga 1.310 1.310 0.000
Ga 1.310 4.916 0.000
Ga 1.520 1.520 4.150
Ga 1.520 1.520 6.914
Ga 1.520 4.706 4.150
Ga 1.520 4.706 6.914
Ga 3.113 3.113 2.565
Ga 3.113 3.113 8.499
Ga 4.706 1.520 4.150
Ga 4.706 1.520 6.914
Ga 4.706 4.706 4.150
Ga 4.706 4.706 6.914
Ga 4.916 1.310 0.000
Ga 4.916 4.916 0.000
Pd 0.000 3.113 5.532
Pd 3.113 0.000 5.532
Pd 3.113 3.113 0.000
```

Results
DOS at the Fermi energy: 0.22 states/eV/atom

***

Entry 2:
A geometry-optimized Dy2GaPd4 structure, computed with PBE.

```
7
Lattice="-3.092 3.092 3.869 3.092 -3.092 3.869 3.092 3.092 -3.869" Properties=species:S:1:pos:R:3 pbc="T T T"
Dy 3.092 0.000 1.935
Dy 0.000 3.092 1.935
Ga 0.000 0.000 0.000
Pd 1.736 1.736 0.000
Pd 1.356 -1.356 3.869
Pd -1.356 1.356 3.869
Pd 1.356 1.356 3.869
```

Results
DOS at the Fermi energy: 0.22 states/eV/atom
Relative energy among the computed polymorphs: 0.7 kJ per mole of atoms

***

Entry 3:
A geometry-optimized DyGa2Pd6 structure, computed with PBE.

```
9
Lattice="5.521 0.000 0.000 -2.760 4.781 0.000 0.000 0.000 6.621" Properties=species:S:1:pos:R:3 pbc="T T T"
Dy 0.000 0.000 0.000
Ga 0.000 3.187 3.311
Ga 2.760 1.594 3.311
Pd -1.380 2.391 1.357
Pd -1.380 2.391 5.264
Pd 2.760 0.000 1.357
Pd 2.760 0.000 5.264
Pd 1.380 2.391 1.357
Pd 1.380 2.391 5.264
```

Results
DOS at the Fermi energy: 0.47 states/eV/atom

***

Entry 4:
A geometry-optimized DyGa2Pd structure, computed with PBE.

```
4
Lattice="0.000 3.324 3.324 3.324 0.000 3.324 3.324 3.324 0.000" Properties=species:S:1:pos:R:3 pbc="T T T"
Dy 0.000 0.000 0.000
Ga 1.662 1.662 1.662
Ga 4.987 4.987 4.987
Pd 3.324 3.324 3.324
```

Results
DOS at the Fermi energy: 0.92 states/eV/atom

***

Entry 5:
A geometry-optimized Dy2Ga3Pd5 structure, computed with PBE.

```
20
Lattice="-5.340 6.018 2.877 5.340 -6.018 2.877 5.340 6.018 -2.877" Properties=species:S:1:pos:R:3 pbc="T T T"
Dy 2.362 1.731 0.000
Dy 2.362 -1.731 2.877
Dy 2.978 7.749 0.000
Dy 2.978 4.287 2.877
Ga 4.252 -4.263 2.877
Ga 5.340 0.000 1.438
Ga 4.252 4.263 0.000
Ga 1.088 1.755 2.877
Ga 0.000 6.018 1.438
Ga 1.088 10.281 0.000
Pd 5.340 -2.548 1.438
Pd 7.251 1.027 0.000
Pd 0.000 0.000 1.438
Pd 1.911 4.991 0.000
Pd 5.340 2.548 1.438
Pd 0.000 3.470 1.438
Pd 3.429 1.027 2.877
Pd 0.000 0.000 4.315
Pd -1.911 4.991 2.877
Pd 0.000 8.566 1.438
```

Results
DOS at the Fermi energy: 0.43 states/eV/atom
Relative energy among the computed polymorphs: 4.0 kJ per mole of atoms

***

Entry 6:
A geometry-optimized DyGa6Pd6 structure, computed with PBE.

```
13
Lattice="-2.752 4.176 4.747 2.752 -4.176 4.747 2.752 4.176 -4.747" Properties=species:S:1:pos:R:3 pbc="T T T"
Dy 0.000 0.000 0.000
Ga 2.752 0.000 1.682
Ga 0.000 0.000 3.247
Ga 0.000 2.935 0.000
Ga 0.000 5.418 0.000
Ga 0.000 0.000 6.246
Ga 0.000 4.176 3.065
Pd 1.376 2.088 -2.373
Pd 1.376 -2.088 2.373
Pd 2.752 2.002 0.000
Pd -1.376 2.088 2.373
Pd 1.376 2.088 2.373
Pd 0.000 2.174 4.747
```

Results
DOS at the Fermi energy: 0.52 states/eV/atom

***

Entry 7:
A geometry-optimized DyGa2Pd structure, computed with PBE.

```
4
Lattice="2.137 1.234 4.919 -2.137 1.234 4.919 0.000 -2.468 4.919" Properties=species:S:1:pos:R:3 pbc="T T T"
Dy 0.000 0.000 0.000
Ga 0.000 0.000 3.227
Ga 0.000 0.000 11.529
Pd 0.000 0.000 7.378
```

Results
DOS at the Fermi energy: 0.45 states/eV/atom

***

Entry 8:
A geometry-optimized Dy6Ga2Pd structure, computed with PBE.

```
9
Lattice="-2.453 3.508 7.389 2.453 -3.508 7.389 2.453 3.508 -7.389" Properties=species:S:1:pos:R:3 pbc="T T T"
Dy 2.453 1.726 -2.416
Dy 0.000 1.711 0.000
Dy 2.453 1.726 2.416
Dy 0.000 1.782 4.973
Dy 0.000 5.305 0.000
Dy 0.000 1.782 9.805
Ga 2.453 0.000 4.911
Ga 0.000 3.508 2.478
Pd 2.453 0.000 0.000
```

Results
DOS at the Fermi energy: 0.97 states/eV/atom
Relative energy among the computed polymorphs: 12.2 kJ per mole of atoms

***

Entry 9:
A geometry-optimized Dy6GaPd5 structure, computed with PBE.

```
12
Lattice="4.999 0.000 0.000 0.000 6.976 0.000 -2.470 0.000 7.512" Properties=species:S:1:pos:R:3 pbc="T T T"
Dy 0.000 1.706 0.000
Dy 0.000 5.270 0.000
Dy 0.017 1.742 4.980
Dy 0.017 5.234 4.980
Dy 2.511 1.742 2.532
Dy 2.511 5.234 2.532
Ga 2.499 3.488 0.000
Pd 0.016 3.488 2.382
Pd 0.013 0.000 2.520
Pd 2.499 0.000 0.000
Pd 2.516 0.000 4.992
Pd 2.513 3.488 5.131
```

Results
DOS at the Fermi energy: 0.66 states/eV/atom

***

Entry 10:
A geometry-optimized PmDyGa2Pd2 structure, computed with PBE.

```
6
Lattice="4.523 0.000 0.000 -2.262 3.917 0.000 0.000 0.000 6.991" Properties=species:S:1:pos:R:3 pbc="T T T"
Pm 0.000 0.000 0.000
Dy 0.000 0.000 3.496
Ga 0.000 2.612 1.848
Ga 2.262 1.306 5.143
Pd 0.000 2.612 5.121
Pd 2.262 1.306 1.871
```

Results
DOS at the Fermi energy: 0.68 states/eV/atom

***

Entry 11:
A geometry-optimized PmDyGa2Pd5 structure, computed with PBE.

```
9
Lattice="4.239 0.000 0.000 0.000 4.239 0.000 0.000 0.000 9.277" Properties=species:S:1:pos:R:3 pbc="T T T"
Pm 0.000 0.000 0.000
Dy 0.000 0.000 4.638
Ga 2.120 2.120 3.401
Ga 2.120 2.120 5.875
Pd 0.000 2.120 2.103
Pd 0.000 2.120 7.174
Pd 2.120 0.000 2.103
Pd 2.120 0.000 7.174
Pd 2.120 2.120 0.000
```

Results
DOS at the Fermi energy: 0.61 states/eV/atom

***

Entry 12:
A geometry-optimized PmDyGaPd structure, computed with PBE.

```
4
Lattice="0.000 3.601 3.601 3.601 0.000 3.601 3.601 3.601 0.000" Properties=species:S:1:pos:R:3 pbc="T T T"
Pm 0.000 0.000 0.000
Dy 3.601 3.601 3.601
Ga 5.401 5.401 5.401
Pd 1.800 1.800 1.800
```

Results
DOS at the Fermi energy: 0.89 states/eV/atom
Relative energy among the computed polymorphs: 4.6 kJ per mole of atoms

***

Taking the records one at a time from the top gives formation enthalpy at 0 K values of -0.58 -0.70 -0.56 -0.59 -0.78 -0.62 -0.71 -0.33 -0.83 -0.84 -0.79 -0.66 eV/atom.
Taking the records one at a time from the top gives spin magnetization values of 0.000 0.000 0.000 0.000 0.000 0.000 0.000 0.000 0.000 0.000 0.000 0.000 Bohr magnetons per cell.
Taking the records one at a time from the top gives calculated volume values of 18.64 21.14 19.42 18.37 18.49 16.78 19.46 28.25 21.83 20.65 18.52 23.34 Å³/atom.